No. 1
# Pm2AlCo4Ge3 PBE optimized geometry
data_Pm2AlCo4Ge3
_chemical_formula_sum 'Pm2 Al1 Co4 Ge3'
_symmetry_space_group_name_H-M 'P 1'
_symmetry_Int_Tables_number 1
_symmetry_space_group_name_Hall 'P 1'
_cell_length_a 4.047
_cell_length_b 4.047
_cell_length_c 9.985
_cell_angle_alpha 90.00
_cell_angle_beta 90.00
_cell_angle_gamma 90.00
loop_
_atom_site_label
_atom_site_type_symbol
_atom_site_fract_x
_atom_site_fract_y
_atom_site_fract_z
Pm1 Pm 0.000 0.500 0.249
Pm2 Pm 0.500 0.000 0.751
Al1 Al 0.000 0.000 0.500
Co1 Co 0.000 0.000 0.000
Co2 Co 0.000 0.500 0.634
Co3 Co 0.500 0.000 0.366
Co4 Co 0.500 0.500 0.000
Ge1 Ge 0.000 0.500 0.873
Ge2 Ge 0.500 0.000 0.127
Ge3 Ge 0.500 0.500 0.500
# formation energy = -0.545 eV per atom

***

No. 2
# Pu2AlCo3Ge4 PBE optimized geometry
data_Pu2AlCo3Ge4
_chemical_formula_sum 'Pu2 Al1 Co3 Ge4'
_symmetry_space_group_name_H-M 'P 1'
_symmetry_Int_Tables_number 1
_symmetry_space_group_name_Hall 'P 1'
_cell_length_a 4.034
_cell_length_b 4.034
_cell_length_c 10.214
_cell_angle_alpha 90.00
_cell_angle_beta 90.00
_cell_angle_gamma 90.00
loop_
_atom_site_label
_atom_site_type_symbol
_atom_site_fract_x
_atom_site_fract_y
_atom_site_fract_z
Pu1 Pu 0.000 0.500 0.237
Pu2 Pu 0.500 0.000 0.763
Al1 Al 0.000 0.000 0.500
Co1 Co 0.000 0.500 0.876
Co2 Co 0.500 0.000 0.124
Co3 Co 0.500 0.500 0.500
Ge1 Ge 0.000 0.000 0.000
Ge2 Ge 0.000 0.500 0.648
Ge3 Ge 0.500 0.000 0.352
Ge4 Ge 0.500 0.500 0.000
# formation energy = -0.385 eV per atom

***

No. 3
# AlCoReGe2 PBE optimized geometry
data_AlCoReGe2
_chemical_formula_sum 'Al1 Co1 Re1 Ge2'
_symmetry_space_group_name_H-M 'P 1'
_symmetry_Int_Tables_number 1
_symmetry_space_group_name_Hall 'P 1'
_cell_length_a 4.342
_cell_length_b 4.342
_cell_length_c 4.771
_cell_angle_alpha 90.00
_cell_angle_beta 90.00
_cell_angle_gamma 90.00
loop_
_atom_site_label
_atom_site_type_symbol
_atom_site_fract_x
_atom_site_fract_y
_atom_site_fract_z
Al1 Al 0.000 0.000 0.000
Co1 Co 0.500 0.500 0.500
Re1 Re 0.500 0.500 0.000
Ge1 Ge 0.000 0.500 0.500
Ge2 Ge 0.500 0.000 0.500
# formation energy = 0.797 eV per atom

***

No. 4
# Sc2AlCo5Ge2 PBE optimized geometry
data_Sc2AlCo5Ge2
_chemical_formula_sum 'Sc4 Al2 Co10 Ge4'
_symmetry_space_group_name_H-M 'P 1'
_symmetry_Int_Tables_number 1
_symmetry_space_group_name_Hall 'P 1'
_cell_length_a 9.128
_cell_length_b 9.128
_cell_length_c 3.316
_cell_angle_alpha 90.00
_cell_angle_beta 90.00
_cell_angle_gamma 90.00
loop_
_atom_site_label
_atom_site_type_symbol
_atom_site_fract_x
_atom_site_fract_y
_atom_site_fract_z
Sc1 Sc 0.173 0.327 0.000
Sc2 Sc 0.327 0.827 0.000
Sc3 Sc 0.673 0.173 0.000
Sc4 Sc 0.827 0.673 0.000
Al1 Al 0.000 0.000 0.000
Al2 Al 0.500 0.500 0.000
Co1 Co 0.000 0.500 0.500
Co2 Co 0.064 0.795 0.500
Co3 Co 0.205 0.064 0.500
Co4 Co 0.295 0.564 0.500
Co5 Co 0.436 0.295 0.500
Co6 Co 0.500 0.000 0.500
Co7 Co 0.564 0.705 0.500
Co8 Co 0.705 0.436 0.500
Co9 Co 0.795 0.936 0.500
Co10 Co 0.936 0.205 0.500
Ge1 Ge 0.125 0.625 0.000
Ge2 Ge 0.375 0.125 0.000
Ge3 Ge 0.625 0.875 0.000
Ge4 Ge 0.875 0.375 0.000
# formation energy = -0.390 eV per atom